1.
Rb2Nb4S7 | PBE | relaxed

* uncorrected formation energy: -797 meV/atom
* crystal system: trigonal

CIF file:
```
data_Rb2Nb4S7
_symmetry_space_group_name_H-M 'P -3 1 m'
_symmetry_Int_Tables_number 162
_symmetry_space_group_name_Hall '-P 3 2'
_cell_length_a 6.4040
_cell_length_b 6.4040
_cell_length_c 8.7195
_cell_angle_alpha 90.00
_cell_angle_beta 90.00
_cell_angle_gamma 120.00
loop_
_atom_site_label
_atom_site_type_symbol
_atom_site_fract_x
_atom_site_fract_y
_atom_site_fract_z
Rb1 Rb 0.3333 0.6667 0.0000
Nb1 Nb 0.0000 0.0000 0.2667
Nb2 Nb 0.3333 0.6667 0.5000
S1 S 0.0000 0.0000 0.0000
S2 S 0.0000 0.3585 0.3286
```

2.
Y2Mn2Ge2N | PBE | relaxed

* uncorrected formation energy: -680 meV/atom
* crystal system: tetragonal

CIF file:
```
data_Y2Mn2Ge2N
_symmetry_space_group_name_H-M 'I 4/m m m'
_symmetry_Int_Tables_number 139
_symmetry_space_group_name_Hall '-I 4 2'
_cell_length_a 4.067
_cell_length_b 4.067
_cell_length_c 14.638
_cell_angle_alpha 90.00
_cell_angle_beta 90.00
_cell_angle_gamma 90.00
loop_
_atom_site_label
_atom_site_type_symbol
_atom_site_fract_x
_atom_site_fract_y
_atom_site_fract_z
Y1 Y 0.000 0.000 0.163
Mn1 Mn 0.000 0.500 0.000
Ge1 Ge 0.000 0.000 0.376
N1 N 0.000 0.000 0.000
```

3.
SrLu | PBE | relaxed

* crystal system: hexagonal
* formation energy from the elements: 0.29 eV/atom

CIF file:
```
data_SrLu
_symmetry_space_group_name_H-M 'P -6 m 2'
_symmetry_Int_Tables_number 187
_symmetry_space_group_name_Hall 'P -6 2'
_cell_length_a 3.7607
_cell_length_b 3.7607
_cell_length_c 6.2800
_cell_angle_alpha 90.00
_cell_angle_beta 90.00
_cell_angle_gamma 120.00
loop_
_atom_site_label
_atom_site_type_symbol
_atom_site_fract_x
_atom_site_fract_y
_atom_site_fract_z
Sr1 Sr 0.0000 0.0000 0.0000
Lu1 Lu 0.3333 0.6667 0.5000
```

4.
Cs2U3AgO12 | PBE | relaxed

* uncorrected formation energy: -2364 meV/atom
* crystal system: trigonal

CIF file:
```
data_Cs2U3AgO12
_symmetry_space_group_name_H-M 'R -3 m'
_symmetry_Int_Tables_number 166
_symmetry_space_group_name_Hall '-R 3 2"'
_cell_length_a 7.9708
_cell_length_b 7.9708
_cell_length_c 18.6268
_cell_angle_alpha 90.00
_cell_angle_beta 90.00
_cell_angle_gamma 120.00
loop_
_atom_site_label
_atom_site_type_symbol
_atom_site_fract_x
_atom_site_fract_y
_atom_site_fract_z
Cs1 Cs 0.0000 0.0000 0.1308
U1 U 0.0000 0.5000 0.0000
Ag1 Ag 0.0000 0.0000 0.5000
O1 O 0.0777 0.5388 0.1021
O2 O 0.0829 0.5415 0.3598
```

no.,volume (A^3/atom)
1,23.82
2,17.30
3,38.46
4,18.98